6
Lattice="0.0000 3.2494 3.2494 3.2494 0.0000 3.2494 3.2494 3.2494 0.0000" Properties=species:S:1:pos:R:3 comment="PBE-GGA Mn4FeSi, optimized geometry" polymorph_energy_mev_per_atom=307 e_form_raw_ev_per_atom=0.18 pbc="T T T"
Mn 0.8109 0.8109 0.8109
Mn 2.4385 2.4385 0.8109
Mn 2.4385 0.8109 2.4385
Mn 0.8109 2.4385 2.4385
Fe 3.2494 3.2494 3.2494
Si 4.8742 4.8742 4.8742

10
Lattice="0.0000 5.2030 5.2030 5.2030 0.0000 5.2030 5.2030 5.2030 0.0000" Properties=species:S:1:pos:R:3 comment="PBE-GGA Rb2CaVCl6, optimized geometry" e_form_raw_ev_per_atom=-1.85 pbc="T T T"
Rb 2.6015 2.6015 2.6015
Rb 7.8044 7.8044 7.8044
Ca 0.0000 0.0000 0.0000
V 5.2030 5.2030 5.2030
Cl 5.2030 5.2030 2.7117
Cl 5.2030 2.7117 5.2030
Cl 7.6942 5.2030 5.2030
Cl 2.7117 5.2030 5.2030
Cl 5.2030 7.6942 5.2030
Cl 5.2030 5.2030 7.6942

9
Lattice="3.6560 0.0000 0.0000 -1.8280 3.1662 0.0000 0.0000 0.0000 13.4850" Properties=species:S:1:pos:R:3 comment="PBE-GGA CeRhN, optimized geometry" e_form_raw_ev_per_atom=-0.43 pbc="T T T"
Ce 0.0000 0.0000 0.0000
Ce 0.0000 2.1108 8.9900
Ce 1.8280 1.0554 4.4950
Rh 0.0000 0.0000 2.2677
Rh 0.0000 2.1108 11.2577
Rh 1.8280 1.0554 6.7627
N 0.0000 0.0000 7.9247
N 0.0000 2.1108 3.4297
N 1.8280 1.0554 12.4197

30
Lattice="10.1216 0.0000 0.0000 0.0000 8.9683 0.0000 0.0000 0.0000 12.4900" Properties=species:S:1:pos:R:3 comment="PBE-GGA Rb8ZrS6, optimized geometry" e_form_raw_ev_per_atom=-1.16 pbc="T T T"
Rb 0.0000 1.3752 0.0000
Rb 0.0000 1.6686 6.5202
Rb 1.7452 4.6782 2.0915
Rb 1.8228 6.0729 10.8076
Rb 1.9920 8.4563 3.0405
Rb 3.0688 0.5120 9.2855
Rb 3.2380 2.8954 4.5626
Rb 3.3157 4.2901 8.3365
Rb 5.0608 7.2997 0.2752
Rb 5.0608 7.5932 6.2450
Rb 6.8060 4.2901 8.3365
Rb 6.8836 2.8954 4.5626
Rb 7.0528 0.5120 9.2855
Rb 8.1297 8.4563 3.0405
Rb 8.2989 6.0729 10.8076
Rb 8.3765 4.6782 2.0915
Zr 0.0000 6.1813 6.9282
Zr 5.0608 2.7870 0.6832
S 0.0000 2.0911 3.3564
S 0.0000 4.2744 8.4575
S 0.0000 7.1022 0.7739
S 0.0000 8.0686 8.4989
S 2.0307 6.0976 5.5803
S 3.0301 2.8708 11.8254
S 5.0608 0.8997 2.2539
S 5.0608 1.8662 7.0189
S 5.0608 4.6939 2.2125
S 5.0608 6.8773 9.6014
S 7.0916 2.8708 11.8254
S 8.0909 6.0976 5.5803

Compound: PrDy3Er2Bi6
Source: Alexandria via LeMat-Bulk
Functional: PBE-GGA
Structure: optimized geometry

The structure in extended XYZ format:
```
12
Lattice="9.7938 -2.2480 0.0000 9.7938 2.2480 0.0000 -2.0597 0.0000 8.7520" Properties=species:S:1:pos:R:3 pbc="T T T"
Pr 0.0000 0.0000 0.0000
Dy -1.0298 0.0000 4.3760
Dy 6.2191 0.0000 1.4712
Dy 11.3088 0.0000 7.2807
Er 5.1368 0.0000 5.8320
Er 12.3911 0.0000 2.9200
Bi 2.0722 0.0000 5.0907
Bi 3.1527 0.0000 0.7547
Bi 8.2344 0.0000 6.4911
Bi 9.2934 0.0000 2.2608
Bi 14.3752 0.0000 7.9973
Bi 15.4556 0.0000 3.6613
```

4
Lattice="4.8946 0.0000 0.0000 0.0000 4.8946 0.0000 0.0000 0.0000 3.3533" Properties=species:S:1:pos:R:3 comment="PBE-GGA AlRhBr2, optimized geometry" polymorph_energy_mev_per_atom=785 e_form_raw_ev_per_atom=0.41 pbc="T T T"
Al 0.0000 0.0000 0.0000
Rh 2.4473 2.4473 0.0000
Br 0.0000 2.4473 1.6767
Br 2.4473 0.0000 1.6767

16
Lattice="4.7601 0.0000 0.0000 0.0000 4.7601 0.0000 0.0000 0.0000 12.7530" Properties=species:S:1:pos:R:3 comment="PBE-GGA ScIr2O, optimized geometry" e_form_raw_ev_per_atom=-0.16 pbc="T T T"
Sc 0.0000 0.0000 0.0000
Sc 0.0000 2.3801 3.1882
Sc 2.3801 0.0000 9.5647
Sc 2.3801 2.3801 6.3765
Ir 0.3998 1.1900 7.9706
Ir 1.1900 2.7799 11.1588
Ir 1.1900 4.3603 4.7824
Ir 1.9802 1.1900 1.5941
Ir 2.7799 3.5701 1.5941
Ir 3.5701 0.3998 4.7824
Ir 3.5701 1.9802 11.1588
Ir 4.3603 3.5701 7.9706
O 0.0000 0.0000 6.3765
O 0.0000 2.3801 9.5647
O 2.3801 0.0000 3.1882
O 2.3801 2.3801 0.0000

Compound: Pm5TmGa2
Source: Alexandria via LeMat-Bulk
Functional: PBE-GGA
Structure: optimized geometry

The structure in extended XYZ format:
```
16
Lattice="3.6608 0.0000 0.0000 0.0000 10.5259 0.0000 0.0000 0.0000 12.0105" Properties=species:S:1:pos:R:3 pbc="T T T"
Pm 0.0000 0.0000 0.0000
Pm 0.0000 2.9637 4.2982
Pm 0.0000 2.9637 7.7123
Pm 0.0000 7.5622 4.2982
Pm 0.0000 7.5622 7.7123
Pm 1.8304 2.2992 1.7071
Pm 1.8304 2.2992 10.3034
Pm 1.8304 5.2630 6.0052
Pm 1.8304 8.2267 1.7071
Pm 1.8304 8.2267 10.3034
Tm 0.0000 5.2630 0.0000
Tm 1.8304 0.0000 6.0052
Ga 0.0000 0.0000 3.3925
Ga 0.0000 0.0000 8.6180
Ga 1.8304 5.2630 2.6128
Ga 1.8304 5.2630 9.3977
```

12
Lattice="3.8387 -6.6480 0.0000 3.8387 6.6480 0.0000 -2.5562 0.0000 6.9681" Properties=species:S:1:pos:R:3 comment="PBE-GGA Na3AcLa2Se6, optimized geometry" e_form_raw_ev_per_atom=-1.74 pbc="T T T"
Na 0.0000 0.0000 0.0000
Na 3.8387 2.2199 0.0000
Na 3.8387 -2.2199 0.0000
Ac 2.5606 0.0000 3.4841
La 2.5606 4.4312 3.4841
La 2.5606 -4.4312 3.4841
Se 1.2521 2.2648 1.8190
Se -0.0544 0.0000 5.1608
Se 1.2521 -2.2648 1.8190
Se 3.8690 2.2648 5.1491
Se 5.1755 0.0000 1.8073
Se 3.8690 -2.2648 5.1491

8
Lattice="3.7898 0.0000 0.0000 0.0000 3.7898 0.0000 0.0000 0.0000 13.1358" Properties=species:S:1:pos:R:3 comment="PBE-GGA CaAlAs2, optimized geometry" polymorph_energy_mev_per_atom=0 pbc="T T T"
Ca 0.0000 0.0000 0.0000
Ca 1.8949 1.8949 6.5679
Al 0.0000 1.8949 3.2840
Al 1.8949 0.0000 9.8519
As 0.0000 0.0000 4.8687
As 0.0000 0.0000 8.2671
As 1.8949 1.8949 1.6992
As 1.8949 1.8949 11.4366

16
Lattice="7.6799 0.0000 0.0000 0.0000 7.6799 0.0000 0.0000 0.0000 7.6799" Properties=species:S:1:pos:R:3 comment="PBE-GGA CaNdCd2, optimized geometry" polymorph_energy_mev_per_atom=0 pbc="T T T"
Ca 0.0000 0.0000 0.0000
Ca 0.0000 3.8399 3.8399
Ca 3.8399 0.0000 3.8399
Ca 3.8399 3.8399 0.0000
Nd 0.0000 0.0000 3.8399
Nd 0.0000 3.8399 0.0000
Nd 3.8399 0.0000 0.0000
Nd 3.8399 3.8399 3.8399
Cd 1.9200 1.9200 1.9200
Cd 1.9200 1.9200 5.7599
Cd 1.9200 5.7599 1.9200
Cd 1.9200 5.7599 5.7599
Cd 5.7599 1.9200 1.9200
Cd 5.7599 1.9200 5.7599
Cd 5.7599 5.7599 1.9200
Cd 5.7599 5.7599 5.7599

no.,total DFT energy (no corrections) (eV/atom),total magnetic moment (Bohr magnetons per cell)
1,-8.25,2.80
2,-4.27,3.00
3,-7.63,0.00
4,-3.90,0.42
5,-5.10,0.00
6,-3.20,0.27
7,-7.41,0.00
8,-4.44,0.00
9,-4.98,0.00
10,-4.38,0.00
11,-2.52,0.00